(1)
Entry from the Alexandria database: a relaxed structure of RbHfCrBi2 (PBE-GGA).

Cell: 5.7001 5.7001 5.5937 Å, 90.00 90.00 90.00°
Positions (direct):
1 Rb 0.0000 0.0000 0.0000
2 Hf 0.5000 0.5000 0.5000
3 Cr 0.5000 0.5000 0.0000
4 Bi 0.0000 0.5000 0.5000
5 Bi 0.5000 0.0000 0.5000

* spin magnetization: 4.65 μB per formula unit
* SG: No. 123
* ΔE_f: 0.437 eV per atom


(2)
Entry from the Alexandria database: a relaxed structure of HfCr2BiW (PBE-GGA).

Cell: 4.7208 4.7208 5.1875 Å, 90.00 90.00 90.00°
Positions (direct):
1 Hf 0.0000 0.0000 0.0000
2 Cr 0.0000 0.5000 0.5000
3 Cr 0.5000 0.0000 0.5000
4 Bi 0.5000 0.5000 0.0000
5 W 0.0000 0.0000 0.5000

* spin magnetization: 5.29 μB per formula unit
* SG: No. 123
* ΔE_f: 1.122 eV per atom


(3)
Entry from the Alexandria database: a relaxed structure of Cr2HgBi (PBE-GGA).

Cell: 4.9492 4.9492 4.9492 Å, 60.00 60.00 60.00°
Positions (direct):
1 Cr 0.2500 0.2500 0.2500
2 Cr 0.7500 0.7500 0.7500
3 Hg 0.0000 0.0000 0.0000
4 Bi 0.5000 0.5000 0.5000

* spin magnetization: 8.55 μB per formula unit
* relative energy among the computed polymorphs: 0.0000 eV per atom
* SG: No. 225
* ΔE_f: 0.539 eV per atom


(4)
Entry from the Alexandria database: a relaxed structure of Cr2HgBi (PBE-GGA).

Cell: 9.9272 9.9272 9.9272 Å, 153.57 153.57 37.72°
Positions (direct):
1 Cr 0.1223 0.6250 0.9973
2 Cr 0.3750 0.3723 0.4973
3 Cr 0.6277 0.1250 0.0027
4 Cr 0.8750 0.8777 0.5027
5 Hg 0.0000 0.0000 0.0000
6 Hg 0.7500 0.2500 0.5000
7 Bi 0.2500 0.7500 0.5000
8 Bi 0.5000 0.5000 0.0000

* spin magnetization: 8.33 μB per formula unit
* relative energy among the computed polymorphs: 0.2633 eV per atom
* SG: No. 122
* ΔE_f: 0.802 eV per atom


(5)
Entry from the Alexandria database: a relaxed structure of CrHg2Bi (PBE-GGA).

Cell: 6.5632 6.5632 6.5632 Å, 101.86 101.86 126.09°
Positions (direct):
1 Cr 0.0000 0.0000 0.0000
2 Cr 0.7500 0.2500 0.5000
3 Hg 0.0954 0.1250 0.4704
4 Hg 0.3750 0.9046 0.0296
5 Hg 0.6546 0.6250 0.5296
6 Hg 0.8750 0.3454 0.9704
7 Bi 0.2500 0.7500 0.5000
8 Bi 0.5000 0.5000 0.0000

* spin magnetization: 3.92 μB per formula unit
* SG: No. 122
* ΔE_f: 0.414 eV per atom


(6)
Entry from the Alexandria database: a relaxed structure of CrHg3Bi (PBE-GGA).

Cell: 5.2572 5.2572 5.2572 Å, 90.00 90.00 90.00°
Positions (direct):
1 Cr 0.0000 0.0000 0.0000
2 Hg 0.0000 0.0000 0.5000
3 Hg 0.0000 0.5000 0.0000
4 Hg 0.5000 0.0000 0.0000
5 Bi 0.5000 0.5000 0.5000

* spin magnetization: 3.75 μB per formula unit
* relative energy among the computed polymorphs: 0.0000 eV per atom
* SG: No. 221
* ΔE_f: 0.549 eV per atom


(7)
Entry from the Alexandria database: a relaxed structure of CrHgBi3 (PBE-GGA).

Cell: 5.2902 5.2902 5.2902 Å, 90.00 90.00 90.00°
Positions (direct):
1 Cr 0.0000 0.0000 0.0000
2 Hg 0.5000 0.5000 0.5000
3 Bi 0.0000 0.0000 0.5000
4 Bi 0.0000 0.5000 0.0000
5 Bi 0.5000 0.0000 0.0000

* spin magnetization: 1.81 μB per formula unit
* relative energy among the computed polymorphs: 0.0000 eV per atom
* SG: No. 221
* ΔE_f: 0.418 eV per atom


(8)
Entry from the Alexandria database: a relaxed structure of Cr3HgBi (PBE-GGA).

Cell: 5.1167 5.1167 5.1167 Å, 90.00 90.00 90.00°
Positions (direct):
1 Cr 0.0000 0.0000 0.5000
2 Cr 0.0000 0.5000 0.0000
3 Cr 0.5000 0.0000 0.0000
4 Hg 0.0000 0.0000 0.0000
5 Bi 0.5000 0.5000 0.5000

* spin magnetization: 12.77 μB per formula unit
* relative energy among the computed polymorphs: 0.0000 eV per atom
* SG: No. 221
* ΔE_f: 1.247 eV per atom


(9)
Entry from the Alexandria database: a relaxed structure of CrHgBi2 (PBE-GGA).

Cell: 10.9565 10.9565 10.9565 Å, 155.21 155.21 35.35°
Positions (direct):
1 Cr 0.0000 0.0000 0.0000
2 Cr 0.7500 0.2500 0.5000
3 Hg 0.2500 0.7500 0.5000
4 Hg 0.5000 0.5000 0.0000
5 Bi 0.1046 0.6250 0.9796
6 Bi 0.3750 0.3546 0.4796
7 Bi 0.6454 0.1250 0.0204
8 Bi 0.8750 0.8954 0.5204

* spin magnetization: 4.40 μB per formula unit
* SG: No. 122
* ΔE_f: 0.432 eV per atom


(10)
Entry from the Alexandria database: a relaxed structure of Cr3HgBi (PBE-GGA).

Cell: 5.4482 5.4482 5.4482 Å, 90.00 90.00 90.00°
Positions (direct):
1 Cr 0.0000 0.0000 0.5000
2 Cr 0.0000 0.5000 0.0000
3 Cr 0.5000 0.0000 0.0000
4 Hg 0.5000 0.5000 0.5000
5 Bi 0.0000 0.0000 0.0000

* spin magnetization: 14.80 μB per formula unit
* relative energy among the computed polymorphs: 0.0156 eV per atom
* SG: No. 221
* ΔE_f: 1.262 eV per atom


(11)
Entry from the Alexandria database: a relaxed structure of CrHgBiI2 (PBE-GGA).

Cell: 6.2541 6.2541 5.5765 Å, 90.00 90.00 90.00°
Positions (direct):
1 Cr 0.0000 0.0000 0.0000
2 Hg 0.5000 0.5000 0.0000
3 Bi 0.0000 0.0000 0.5000
4 I 0.0000 0.5000 0.5000
5 I 0.5000 0.0000 0.5000

* spin magnetization: 4.87 μB per formula unit
* SG: No. 123
* formation energy (no corrections): 0.3205 eV per atom


(12)
Entry from the Alexandria database: a relaxed structure of Cr2HgBiMo (PBE-GGA).

Cell: 5.0593 5.0593 5.1863 Å, 90.00 90.00 90.00°
Positions (direct):
1 Cr 0.0000 0.5000 0.0000
2 Cr 0.5000 0.0000 0.0000
3 Hg 0.0000 0.0000 0.0000
4 Bi 0.5000 0.5000 0.5000
5 Mo 0.0000 0.0000 0.5000

* spin magnetization: 5.18 μB per formula unit
* SG: No. 123
* ΔE_f: 1.495 eV per atom


(13)
Entry from the Alexandria database: a relaxed structure of Na2CrHgBi (PBE-GGA).

Cell: 5.3909 5.3909 5.3107 Å, 90.00 90.00 90.00°
Positions (direct):
1 Na 0.0000 0.5000 0.0000
2 Na 0.5000 0.0000 0.0000
3 Cr 0.0000 0.0000 0.5000
4 Hg 0.0000 0.0000 0.0000
5 Bi 0.5000 0.5000 0.5000

* spin magnetization: 4.73 μB per formula unit
* SG: No. 123
* ΔE_f: 0.431 eV per atom


(14)
Entry from the Alexandria database: a relaxed structure of CrHgBi2Pb (PBE-GGA).

Cell: 5.9631 5.9631 5.4756 Å, 90.00 90.00 90.00°
Positions (direct):
1 Cr 0.0000 0.0000 0.0000
2 Hg 0.5000 0.5000 0.0000
3 Bi 0.0000 0.5000 0.5000
4 Bi 0.5000 0.0000 0.5000
5 Pb 0.5000 0.5000 0.5000

* spin magnetization: 0.49 μB per formula unit
* SG: No. 123
* ΔE_f: 1.568 eV per atom


(15)
Entry from the Alexandria database: a relaxed structure of CrHgBi2S (PBE-GGA).

Cell: 5.6016 5.6016 4.4613 Å, 90.00 90.00 90.00°
Positions (direct):
1 Cr 0.0000 0.0000 0.0000
2 Hg 0.5000 0.5000 0.0000
3 Bi 0.0000 0.5000 0.5000
4 Bi 0.5000 0.0000 0.5000
5 S 0.0000 0.0000 0.5000

* spin magnetization: 3.60 μB per formula unit
* SG: No. 123
* formation energy (no corrections): 0.3623 eV per atom


(16)
Entry from the Alexandria database: a relaxed structure of CrHgBi2Sb (PBE-GGA).

Cell: 5.3312 5.3312 5.0451 Å, 90.00 90.00 90.00°
Positions (direct):
1 Cr 0.0000 0.0000 0.0000
2 Hg 0.5000 0.5000 0.5000
3 Bi 0.0000 0.5000 0.0000
4 Bi 0.5000 0.0000 0.0000
5 Sb 0.0000 0.0000 0.5000

* spin magnetization: 1.64 μB per formula unit
* SG: No. 123
* formation energy (no corrections): 0.3899 eV per atom


(17)
Entry from the Alexandria database: a relaxed structure of CrSnHgBi2 (PBE-GGA).

Cell: 5.7538 5.7538 5.4361 Å, 90.00 90.00 90.00°
Positions (direct):
1 Cr 0.0000 0.0000 0.0000
2 Sn 0.5000 0.5000 0.0000
3 Hg 0.5000 0.5000 0.5000
4 Bi 0.0000 0.5000 0.5000
5 Bi 0.5000 0.0000 0.5000

* spin magnetization: 4.48 μB per formula unit
* SG: No. 123
* ΔE_f: 0.986 eV per atom


(18)
Entry from the Alexandria database: a relaxed structure of ZrCrHg2Bi (PBE-GGA).

Cell: 5.0911 5.0911 5.0837 Å, 90.00 90.00 90.00°
Positions (direct):
1 Zr 0.0000 0.0000 0.0000
2 Cr 0.5000 0.5000 0.5000
3 Hg 0.0000 0.5000 0.5000
4 Hg 0.5000 0.0000 0.5000
5 Bi 0.5000 0.5000 0.0000

* spin magnetization: 3.84 μB per formula unit
* SG: No. 123
* ΔE_f: 0.730 eV per atom